NaHo4Se5: relaxed, PBE-GGA.

POSCAR file:
```
NaHo4Se5
1.0
3.951 0.000 0.902
1.664 6.662 1.813
-0.006 0.007 9.126
Se Ho Na
5 4 1
Cartesian
0.829 3.334 5.470
2.286 6.042 8.192
2.071 2.075 9.130
3.537 4.594 2.712
3.323 0.627 3.650
2.703 1.399 6.363
1.442 2.644 2.787
2.905 5.270 5.478
4.167 4.025 9.055
0.000 0.000 0.000
```

Calculated values
V in Å³ per cell: 240.20
Space-group type: C2/m
Fermi-level density of states in states/eV per atom: 0.36
Final energy in eV for the cell shown: -54.25